# MnPtF2

A relaxed structure of MnPtF2 (PBE with a Hubbard U, Alexandria).

## Properties
Size of the total moment ... 5.26 μB/f.u.
Volume ... 14.9 Å³ per atom
Energy above the most stable polymorph in this dataset ... 0 meV/atom
Fermi-level density of states ... 5.24 states/eV/cell
Electronic total energy ... -5.212 eV/atom
Space group ... I-42d

a b c (Å): 5.3849 5.3849 5.3849
angles (deg): 106.58 106.58 115.43
Positions (direct):
Mn 0.0000 0.0000 0.0000
Mn 0.7500 0.2500 0.5000
Pt 0.2500 0.7500 0.5000
Pt 0.5000 0.5000 0.0000
F 0.0465 0.6250 0.9215
F 0.3750 0.2965 0.4215
F 0.7035 0.1250 0.0785
F 0.8750 0.9535 0.5785